(1)
Density functional theory data (meta-GGA SCAN) for In4As3Se at its PBEsol-relaxed geometry.

The formation energy without anion corrections comes out at -27.2 kJ per mole of atoms. Its symmetry is I-42m. For the total energy, the calculation gives -27.056 eV per atom.

```
data_In4As3Se
_chemical_formula_sum 'In4 As3 Se1'
_space_group_name_H-M_alt 'P 1'
_space_group_IT_number 1
_cell_length_a 7.5632
_cell_length_b 7.5632
_cell_length_c 7.5632
_cell_angle_alpha 131.77
_cell_angle_beta 131.77
_cell_angle_gamma 70.59
loop_
_space_group_symop_operation_xyz
'x,y,z'
loop_
_atom_site_label
_atom_site_fract_x
_atom_site_fract_y
_atom_site_fract_z
In1 0.1157 0.6284 0.0000
In2 0.3716 0.3716 0.4873
In3 0.6284 0.1157 0.0000
In4 0.8843 0.8843 0.5127
As1 0.0000 0.0000 0.0000
As2 0.2500 0.7500 0.5000
As3 0.7500 0.2500 0.5000
Se1 0.5000 0.5000 0.0000
```



(2)
Density functional theory data (meta-GGA SCAN) for Sr2Au at its PBEsol-relaxed geometry.

For the formation enthalpy at 0 K, the calculation gives -13.9 kcal/mol of atoms. Its symmetry is I4_1/amd. For the total energy, the calculation gives -38.506 eV per atom.

```
data_Sr2Au
_chemical_formula_sum 'Sr4 Au2'
_space_group_name_H-M_alt 'P 1'
_space_group_IT_number 1
_cell_length_a 14.9149
_cell_length_b 14.9149
_cell_length_c 14.9149
_cell_angle_alpha 165.39
_cell_angle_beta 165.39
_cell_angle_gamma 20.72
loop_
_space_group_symop_operation_xyz
'x,y,z'
loop_
_atom_site_label
_atom_site_fract_x
_atom_site_fract_y
_atom_site_fract_z
Sr1 0.3136 0.5636 0.7500
Sr2 0.4364 0.6864 0.7500
Sr3 0.5636 0.3136 0.2500
Sr4 0.6864 0.4364 0.2500
Au1 0.1250 0.8750 0.2500
Au2 0.8750 0.1250 0.7500
```



> Which formula does entry 2 have?

Sr2Au